Li3CrRe2N6: relaxed, GGA-PBE.

a b c (Å): 4.995 4.995 5.448
angles (deg): 98.60 98.60 120.28
Positions (direct):
1 Li 0.000 0.000 0.000
2 Li 0.341 0.659 0.000
3 Li 0.659 0.341 0.000
4 Cr 0.500 0.500 0.500
5 Re 0.183 0.817 0.500
6 Re 0.817 0.183 0.500
7 N 0.092 0.419 0.262
8 N 0.244 0.244 0.708
9 N 0.419 0.092 0.262
10 N 0.581 0.908 0.738
11 N 0.756 0.756 0.292
12 N 0.908 0.581 0.738

Values from the calculation:
The total magnetic moment is 0.0315 μB per atom. The energy relative to the elements, uncorrected is -302.7 meV per atom.



LiCrRh2N: relaxed, GGA-PBE.

a b c (Å): 4.086 4.086 3.839
angles (deg): 90.00 90.00 90.00
Positions (direct):
1 Li 0.000 0.000 0.000
2 Cr 0.500 0.500 0.000
3 Rh 0.000 0.500 0.500
4 Rh 0.500 0.000 0.500
5 N 0.500 0.500 0.500

Values from the calculation:
The total magnetic moment is 0.6160 μB per atom. The energy relative to the elements, uncorrected is -115.4 meV per atom.



LiCrS2N: relaxed, GGA-PBE.

a b c (Å): 4.370 4.370 3.382
angles (deg): 90.00 90.00 90.00
Positions (direct):
1 Li 0.000 0.000 0.000
2 Cr 0.500 0.500 0.500
3 S 0.000 0.500 0.000
4 S 0.500 0.000 0.000
5 N 0.000 0.000 0.500

Values from the calculation:
The total magnetic moment is 0.0503 μB per atom. The energy relative to the elements, uncorrected is 1203.5 meV per atom. The calculation puts the relative energy among the computed polymorphs at 1331.4 meV/atom.